The following is a DFT calculation (PBE) of crystalline AcPr2Nd5Dy at its relaxed geometry.

CIF file:
```
data_AcPr2Nd5Dy
_chemical_formula_sum 'Ac4 Pr8 Nd20 Dy4'
_space_group_name_H-M_alt 'I 4/m c m'
_space_group_IT_number 140
_space_group_name_Hall '-I 4 2c'
_cell_length_a 9.050
_cell_length_b 9.050
_cell_length_c 16.029
_cell_angle_alpha 90.00
_cell_angle_beta 90.00
_cell_angle_gamma 90.00
loop_
_atom_site_label
_atom_site_type_symbol
_atom_site_fract_x
_atom_site_fract_y
_atom_site_fract_z
Ac1 Ac 0.000 0.000 0.250
Pr1 Pr 0.118 0.382 0.000
Nd1 Nd 0.000 0.000 0.000
Nd2 Nd 0.206 0.294 0.365
Dy1 Dy 0.000 0.500 0.250
```

Properties
Crystal system   tetragonal
Magnetization   0.00 μB per cell
Uncorrected energy   -4.4293 eV per atom
Energy relative to the elements   0.25 eV/atom


The following is a DFT calculation (PBE) of crystalline AcPr2Nd2Dy2 at its relaxed geometry.

CIF file:
```
data_AcPr2Nd2Dy2
_chemical_formula_sum 'Ac2 Pr4 Nd4 Dy4'
_space_group_name_H-M_alt 'C 1 2/m 1'
_space_group_IT_number 12
_cell_length_a 11.695
_cell_length_b 5.239
_cell_length_c 8.252
_cell_angle_alpha 90.00
_cell_angle_beta 98.17
_cell_angle_gamma 90.00
loop_
_space_group_symop_operation_xyz
'x,y,z'
'-x,-y,-z'
'-x,y,-z'
'x,-y,z'
'x+1/2,y+1/2,z'
'-x+1/2,-y+1/2,-z'
'-x+1/2,y+1/2,-z'
'x+1/2,-y+1/2,z'
loop_
_atom_site_label
_atom_site_type_symbol
_atom_site_fract_x
_atom_site_fract_y
_atom_site_fract_z
Ac1 Ac 0.000 0.000 0.000
Pr1 Pr 0.214 0.500 0.152
Nd1 Nd 0.074 0.500 0.707
Dy1 Dy 0.143 0.000 0.434
```

Properties
Crystal system   monoclinic
Magnetization   0.00 μB per cell
Uncorrected energy   -4.5984 eV per atom
Energy relative to the elements   0.03 eV/atom


The following is a DFT calculation (PBE) of crystalline AcPrNd6Dy2 at its relaxed geometry.

CIF file:
```
data_AcPrNd6Dy2
_chemical_formula_sum 'Ac4 Pr4 Nd24 Dy8'
_space_group_name_H-M_alt 'C 1 2/c 1'
_space_group_IT_number 15
_cell_length_a 9.429
_cell_length_b 15.541
_cell_length_c 9.892
_cell_angle_alpha 90.00
_cell_angle_beta 96.46
_cell_angle_gamma 90.00
loop_
_space_group_symop_operation_xyz
'x,y,z'
'-x,-y,-z'
'-x,y,-z+1/2'
'x,-y,z+1/2'
'x+1/2,y+1/2,z'
'-x+1/2,-y+1/2,-z'
'-x+1/2,y+1/2,-z+1/2'
'x+1/2,-y+1/2,z+1/2'
loop_
_atom_site_label
_atom_site_type_symbol
_atom_site_fract_x
_atom_site_fract_y
_atom_site_fract_z
Ac1 Ac 0.000 0.030 0.250
Pr1 Pr 0.000 0.408 0.750
Nd1 Nd 0.067 0.182 0.945
Nd2 Nd 0.098 0.392 0.120
Nd3 Nd 0.214 0.230 0.321
Dy1 Dy 0.248 0.447 0.453
```

Properties
Crystal system   monoclinic
Magnetization   0.00 μB per cell
Uncorrected energy   -4.5531 eV per atom
Energy relative to the elements   0.12 eV/atom


The following is a DFT calculation (PBE) of crystalline Ac2PrNd4Dy at its relaxed geometry.

CIF file:
```
data_Ac2PrNd4Dy
_chemical_formula_sum 'Ac2 Pr1 Nd4 Dy1'
_space_group_name_H-M_alt 'P 1 2/m 1'
_space_group_IT_number 10
_cell_length_a 6.504
_cell_length_b 3.767
_cell_length_c 12.365
_cell_angle_alpha 90.00
_cell_angle_beta 100.34
_cell_angle_gamma 90.00
loop_
_space_group_symop_operation_xyz
'x,y,z'
'-x,-y,-z'
'-x,y,-z'
'x,-y,z'
loop_
_atom_site_label
_atom_site_type_symbol
_atom_site_fract_x
_atom_site_fract_y
_atom_site_fract_z
Ac1 Ac 0.000 0.000 0.000
Ac2 Ac 0.500 0.500 0.000
Pr1 Pr 0.000 0.500 0.500
Nd1 Nd 0.249 0.000 0.743
Nd2 Nd 0.254 0.500 0.259
Dy1 Dy 0.500 0.000 0.500
```

Properties
Crystal system   monoclinic
Magnetization   0.00 μB per cell
Uncorrected energy   -4.5444 eV per atom
Energy relative to the elements   0.04 eV/atom


The following is a DFT calculation (PBE) of crystalline Ac2Pr5NdDy at its relaxed geometry.

CIF file:
```
data_Ac2Pr5NdDy
_chemical_formula_sum 'Ac8 Pr20 Nd4 Dy4'
_space_group_name_H-M_alt 'C m c 21'
_space_group_IT_number 36
_cell_length_a 5.897
_cell_length_b 20.958
_cell_length_c 11.020
_cell_angle_alpha 90.00
_cell_angle_beta 90.00
_cell_angle_gamma 90.00
loop_
_space_group_symop_operation_xyz
'x,y,z'
'-x,-y,z+1/2'
'-x,y,z'
'x,-y,z+1/2'
'x+1/2,y+1/2,z'
'-x+1/2,-y+1/2,z+1/2'
'-x+1/2,y+1/2,z'
'x+1/2,-y+1/2,z+1/2'
loop_
_atom_site_label
_atom_site_type_symbol
_atom_site_fract_x
_atom_site_fract_y
_atom_site_fract_z
Ac1 Ac 0.000 0.114 0.000
Ac2 Ac 0.000 0.117 0.584
Pr1 Pr 0.000 0.018 0.288
Pr2 Pr 0.000 0.281 0.581
Pr3 Pr 0.000 0.294 0.970
Pr4 Pr 0.000 0.386 0.288
Pr5 Pr 0.000 0.484 0.010
Nd1 Nd 0.000 0.408 0.734
Dy1 Dy 0.000 0.206 0.276
```

Properties
Crystal system   orthorhombic
Magnetization   0.00 μB per cell
Uncorrected energy   -4.4822 eV per atom
Energy relative to the elements   0.13 eV/atom


The following is a DFT calculation (PBE) of crystalline AcPr6Nd2Dy at its relaxed geometry.

CIF file:
```
data_AcPr6Nd2Dy
_chemical_formula_sum 'Ac4 Pr24 Nd8 Dy4'
_space_group_name_H-M_alt 'C 1 2/c 1'
_space_group_IT_number 15
_cell_length_a 9.450
_cell_length_b 15.750
_cell_length_c 9.948
_cell_angle_alpha 90.00
_cell_angle_beta 96.49
_cell_angle_gamma 90.00
loop_
_space_group_symop_operation_xyz
'x,y,z'
'-x,-y,-z'
'-x,y,-z+1/2'
'x,-y,z+1/2'
'x+1/2,y+1/2,z'
'-x+1/2,-y+1/2,-z'
'-x+1/2,y+1/2,-z+1/2'
'x+1/2,-y+1/2,z+1/2'
loop_
_atom_site_label
_atom_site_type_symbol
_atom_site_fract_x
_atom_site_fract_y
_atom_site_fract_z
Ac1 Ac 0.000 0.023 0.250
Pr1 Pr 0.063 0.189 0.947
Pr2 Pr 0.103 0.395 0.117
Pr3 Pr 0.212 0.226 0.312
Nd1 Nd 0.245 0.444 0.455
Dy1 Dy 0.000 0.410 0.750
```

Properties
Crystal system   monoclinic
Magnetization   0.00 μB per cell
Uncorrected energy   -4.5803 eV per atom
Energy relative to the elements   0.11 eV/atom